# Cr2Cl2O

Cr2Cl2O after structural relaxation (GGA+U, the Alexandria database).

Calculated values
**Symmetry**: C2/m, No. 12
**Final energy**: -5.9433 eV per atom

Unit cell a=6.936 b=6.936 c=8.952 alpha=127.59 beta=127.59 gamma=42.39
Sites, in units of the cell vectors:
Cr1 0.001 0.001 0.166
Cr2 0.325 0.325 0.254
Cr3 0.675 0.675 0.746
Cr4 0.999 0.999 0.834
Cl1 0.177 0.177 0.807
Cl2 0.437 0.437 0.630
Cl3 0.563 0.563 0.370
Cl4 0.823 0.823 0.193
O1 0.135 0.135 0.128
O2 0.865 0.865 0.872